# K2WO4, relaxed, DFT PBE+U
data_K2WO4
_chemical_formula_sum 'K8 W4 O16'
_cell_length_a 8.127
_cell_length_b 6.658
_cell_length_c 10.680
_cell_angle_alpha 90.00
_cell_angle_beta 90.00
_cell_angle_gamma 90.00
_space_group_name_H-M_alt 'P n m a'
_space_group_IT_number 62
loop_
_space_group_symop_operation_xyz
'x,y,z'
'-x,-y,-z'
'-x+1/2,-y,z+1/2'
'x+1/2,y,-z+1/2'
'x+1/2,-y+1/2,-z+1/2'
'-x+1/2,y+1/2,z+1/2'
'-x,y+1/2,-z'
'x,-y+1/2,z'
loop_
_atom_site_label
_atom_site_fract_x
_atom_site_fract_y
_atom_site_fract_z
K1 0.007 0.250 0.239
K2 0.213 0.250 0.564
W1 0.229 0.250 0.899
O1 0.033 0.250 0.981
O2 0.105 0.750 0.513
O3 0.244 0.028 0.800
# Size of the total moment = 0.02 μB/atom
# Fermi-level density of states = 0.000 states/eV/atom
# Relative energy among the computed polymorphs = 2 meV per atom
# Total energy = -6.229 eV per atom